# 1
4
Lattice="-0.3171 -0.8367 -2.6042 1.9228 -3.8442 1.0010 -5.2947 -2.2889 1.3801" Properties=species:S:1:pos:R:3 comment="MgScMo2, optimized geometry, DFT GGA-PBE" dos_at_fermi_per_ev_cell=5.24 space_group="Pmm2 (25)" formation_enthalpy_0k_ev_per_atom=0.339 pbc="T T T"
Mg -3.2054 -4.0732 0.2432
Sc -2.6022 -1.1249 0.6783
Mo -0.4453 -2.8800 -0.4763
Mo -0.0835 -0.0361 0.0218

# 2
5
Lattice="4.1393 -0.0002 0.0000 -2.0694 3.5850 0.0000 0.0000 0.0000 4.9710" Properties=species:S:1:pos:R:3 comment="GaNi3Sb, optimized geometry, DFT GGA-PBE" dos_at_fermi_per_ev_cell=2.76 de_polymorph_mev_per_atom=0 space_group="P-6m2 (187)" e_form_raw_kj_per_mol_atoms=-14.8 pbc="T T T"
Sb 0.0002 2.3899 1.2427
Ni -2.0693 3.5849 2.5117
Ni -2.0693 3.5849 4.9448
Ga 2.0698 1.1948 3.7282
Ni 2.0698 1.1948 1.2427

# 3
8
Lattice="-6.8191 0.7945 -0.1375 -3.8118 -3.7800 -4.2822 -4.1392 -5.3443 2.8979" Properties=species:S:1:pos:R:3 comment="NaMoBr6, optimized geometry, DFT GGA-PBE" dos_at_fermi_per_ev_cell=5.75 space_group="R-3 (148)" e_form_raw_kj_per_mol_atoms=-66.3 pbc="T T T"
Br -8.7631 -3.6605 1.9085
Mo 0.0000 0.0000 0.0000
Br -5.0024 -5.5450 0.5419
Br -6.0069 -4.6694 -3.4303
Br -9.7676 -2.7849 -2.0638
Br -5.9043 -1.5448 -0.3028
Br -8.8657 -6.7850 -1.2191
Na -7.3850 -4.1649 -0.7609

# 4
5
Lattice="-4.0683 -3.7309 1.4744 2.2545 -0.3895 5.2354 -1.5349 1.9935 0.8093" Properties=species:S:1:pos:R:3 comment="TlBP2O, optimized geometry, DFT GGA-PBE" dos_at_fermi_per_ev_cell=2.89 de_polymorph_mev_per_atom=0 space_group="P4/mmm (123)" e_form_raw_kj_per_mol_atoms=21.9 pbc="T T T"
O -0.7674 0.9968 0.4046
B 0.0000 0.0000 0.0000
P -2.0342 -1.8654 0.7372
P 1.1273 -0.1947 2.6177
Tl -1.6743 -1.0634 3.7595

# 5
6
Lattice="4.7415 0.0003 0.0008 -0.0051 7.0842 0.0006 -0.9538 -0.0040 4.6452" Properties=species:S:1:pos:R:3 comment="SrPAu, optimized geometry, DFT GGA-PBE" dos_at_fermi_per_ev_cell=0.00 space_group="Cmc2_1 (36)" formation_enthalpy_0k_ev_per_atom=-0.824 pbc="T T T"
Sr 3.1328 5.9887 1.0785
P -0.1902 5.4488 3.7880
P 2.2964 1.9086 1.7628
Sr 3.7143 2.4439 4.4738
Au 0.9118 0.3112 2.8964
Au 1.2006 3.8535 2.6587

# 6
12
Lattice="4.3966 0.0000 0.0000 2.1983 3.8075 0.0000 2.1983 1.2692 6.8173" Properties=species:S:1:pos:R:3 comment="TaBe9V2, optimized geometry, DFT GGA-PBE" dos_at_fermi_per_ev_cell=2.78 space_group="R-3m (166)" formation_enthalpy_0k_ev_per_atom=-0.244 pbc="T T T"
Be 4.3966 2.5384 0.0189
Be 4.3966 1.2469 5.1093
V 6.5948 3.8075 2.9031
V 2.1983 1.2692 3.9141
Be 4.3966 2.5384 3.4086
Be 4.3966 2.5384 6.7984
Ta 0.0000 0.0000 0.0000
Be 3.2781 3.1841 5.1093
Be 5.5150 1.8926 1.7079
Be 4.3966 3.8298 1.7079
Be 3.2781 1.8926 1.7079
Be 5.5150 3.1841 5.1093

# 7
8
Lattice="-2.7886 1.7522 -2.6772 -1.5856 -3.8413 -0.8625 -5.5704 0.8689 6.3709" Properties=species:S:1:pos:R:3 comment="TmNpGa6, optimized geometry, DFT GGA-PBE" dos_at_fermi_per_ev_cell=9.03 space_group="P4/mmm (123)" formation_enthalpy_0k_ev_per_atom=-0.365 pbc="T T T"
Tm -2.7852 0.4345 3.1855
Ga -2.1841 -1.7036 1.1600
Ga -2.7856 1.0931 0.2527
Ga -4.9723 -0.6101 1.4157
Ga -5.5734 1.5280 3.4411
Ga -2.1871 -1.0446 -1.7698
Ga -4.9719 -1.2688 4.3484
Np 0.0000 0.0000 0.0000

# 8
10
Lattice="-3.6969 -1.0884 -3.6852 -1.7663 -7.6772 4.0393 0.1264 6.0917 1.9318" Properties=species:S:1:pos:R:3 comment="DyNiPt3, optimized geometry, DFT GGA-PBE" dos_at_fermi_per_ev_cell=9.08 de_polymorph_mev_per_atom=0 space_group="Imma (74)" formation_enthalpy_0k_ev_per_atom=-0.630 pbc="T T T"
Pt -1.6720 -1.9905 0.3364
Pt -2.8386 1.6685 -1.5029
Pt -2.4982 -4.3424 3.7887
Pt -3.5205 -2.5347 -1.5062
Dy -4.0374 -3.5423 1.2387
Pt -3.6648 -0.6834 1.9494
Ni -1.8485 -0.5442 -1.8426
Pt -1.8163 -0.1392 3.7920
Ni -0.8831 -3.8386 2.0196
Dy -1.2994 0.8684 1.0470

# 9
5
Lattice="4.6175 0.0000 0.0000 0.0000 5.8960 0.0000 0.0000 0.0000 4.6175" Properties=species:S:1:pos:R:3 comment="ZnCrSe2I, optimized geometry, DFT GGA-PBE" dos_at_fermi_per_ev_cell=7.40 space_group="P4/mmm (123)" e_form_raw_kj_per_mol_atoms=22.1 pbc="T T T"
I 0.0000 2.9480 0.0000
Zn 2.3087 2.9480 2.3087
Se 0.0000 0.0000 2.3087
Cr 0.0000 0.0000 0.0000
Se 2.3087 0.0000 0.0000

# 10
24
Lattice="-4.0637 -1.8811 2.3559 -11.0438 4.1366 -15.7467 8.1003 -17.9250 -0.3404" Properties=species:S:1:pos:R:3 comment="K9Rb11Na4, optimized geometry, DFT GGA-PBE" dos_at_fermi_per_ev_cell=17.26 space_group="Cmmm (65)" formation_enthalpy_0k_ev_per_atom=0.018 pbc="T T T"
Rb -0.9012 -4.2216 -4.9254
K -3.8457 -1.4115 -2.3269
K 0.6838 -14.4562 -4.9298
K 1.2992 -11.5736 -1.5666
Na -4.9787 -3.5321 -5.9746
K -3.1615 -14.2580 -11.4044
Rb 0.0000 0.0000 0.0000
K -3.5036 -7.8348 -6.8656
Rb -2.0422 -9.5668 -11.1617
Rb -5.5963 -6.6692 -14.9785
Rb 2.6528 -7.1192 -1.1086
K -5.9116 -11.0888 -13.6175
Rb -3.9280 -4.0636 -10.0203
K -7.6910 -1.2133 -8.8015
K -8.3064 -4.0960 -12.1647
Rb -4.0447 0.5990 -6.4985
Rb 5.1146 -14.4842 -2.7432
Na -1.1366 -7.9598 -2.8826
Rb 0.9845 -9.7248 -6.0669
Rb 1.1013 -14.3874 -9.5886
Na -2.0284 -12.1374 -7.7567
Na -5.8706 -7.7098 -10.8487
K -1.0956 -4.5807 -0.1137
Rb -8.0580 0.6958 -13.3439

# 11
10
Lattice="3.6904 0.0041 0.6933 1.8681 5.4290 0.2100 -0.0333 -0.1075 10.3143" Properties=species:S:1:pos:R:3 comment="Dy2Zn2Co, optimized geometry, DFT GGA-PBE" dos_at_fermi_per_ev_cell=7.34 space_group="C2/m (12)" formation_enthalpy_0k_ev_per_atom=-0.283 pbc="T T T"
Dy 3.0241 1.1635 4.2230
Zn 1.6312 0.7481 1.4734
Zn 4.7732 3.5880 5.0783
Zn 0.7520 1.7376 6.1394
Zn 3.8940 4.5775 9.7443
Co 3.1350 4.6408 3.6251
Co 2.3902 0.6848 7.5926
Dy 1.6353 3.8137 1.4578
Dy 3.8899 1.5119 9.7598
Dy 2.5011 4.1621 6.9946

# 12
20
Lattice="9.4551 0.0000 -3.3429 -4.7275 8.1883 -3.3429 0.0000 0.0000 10.0286" Properties=species:S:1:pos:R:3 comment="AcPm12Dy7, optimized geometry, DFT GGA-PBE" dos_at_fermi_per_ev_cell=28.95 de_polymorph_mev_per_atom=418 space_group="Im-3 (204)" formation_enthalpy_0k_ev_per_atom=0.639 pbc="T T T"
Pm 3.6902 2.1387 -0.0100
Dy 2.3638 4.0942 1.6714
Pm -1.2206 2.1387 6.5462
Pm -2.2651 8.1761 3.2033
Pm -0.0071 4.2651 0.0100
Pm 3.4857 6.0619 -0.1396
Pm 1.2418 2.1264 3.4824
Dy 4.7275 0.0000 3.3429
Pm 6.9926 0.0122 0.1396
Dy 4.7275 0.0000 -1.6714
Pm -1.0303 6.0619 -3.3329
Dy -2.3638 4.0942 -1.6714
Dy -2.3638 4.0942 3.3429
Pm 5.7579 2.1264 6.6758
Pm 1.0374 6.0497 3.3529
Dy 0.0000 0.0000 5.0143
Ac 0.0000 0.0000 0.0000
Dy 2.3638 4.0942 -3.3429
Pm 4.7346 3.9232 3.3329
Pm 5.9482 6.0497 -3.2033